{
  "formula": "LiYZn2Pt2",
  "functional": "PBE-GGA",
  "state": "optimized geometry",
  "lattice_angstrom": [[-2.496, -1.642, -3.157], [-1.284, -0.263, 4.144], [-3.040, 5.735, -0.579]],
  "species": ["Li", "Zn", "Pt", "Zn", "Pt", "Y"],
  "frac_coords": [[0.000, 0.000, 0.500], [0.333, 0.667, 0.325], [0.667, 0.333, 0.265], [0.667, 0.333, 0.675], [0.333, 0.667, 0.735], [0.000, 0.000, 0.000]],
  "e_form_ev_per_fu": -4.6,
  "e_tot_ev_per_atom": -4.602
}

{
  "formula": "LiYZrPt",
  "functional": "PBE-GGA",
  "state": "optimized geometry",
  "lattice_angstrom": [[-2.411, -4.174, 0.546], [2.397, -4.050, 1.180], [-0.533, -1.934, 4.417]],
  "species": ["Li", "Y", "Zr", "Pt"],
  "frac_coords": [[0.250, 0.250, 0.250], [0.500, 0.500, 0.500], [0.000, 0.000, 0.000], [0.750, 0.750, 0.750]],
  "e_form_ev_per_fu": -2.0,
  "e_tot_ev_per_atom": -6.238
}

{
  "formula": "Li2ZnPt9",
  "functional": "PBE-GGA",
  "state": "optimized geometry",
  "lattice_angstrom": [[-1.204, 0.537, 3.669], [2.179, -3.019, 1.157], [8.998, 7.223, 1.897]],
  "species": ["Pt", "Li", "Pt", "Pt", "Pt", "Li", "Pt", "Pt", "Zn", "Pt", "Pt", "Pt"],
  "frac_coords": [[0.000, 0.500, 0.500], [0.000, 0.000, 0.334], [0.500, 0.000, 0.500], [0.000, 0.500, 0.169], [0.500, 0.000, 0.831], [0.000, 0.000, 0.666], [0.500, 0.500, 0.000], [0.500, 0.500, 0.665], [0.000, 0.000, 0.000], [0.500, 0.500, 0.335], [0.500, 0.000, 0.169], [0.000, 0.500, 0.831]],
  "e_form_ev_per_fu": -4.7,
  "e_tot_ev_per_atom": -5.344
}

{
  "formula": "Li2Zn2Pt",
  "functional": "PBE-GGA",
  "state": "optimized geometry",
  "lattice_angstrom": [[3.438, 0.000, 0.000], [0.000, 3.438, 0.000], [1.719, 1.719, 6.476]],
  "species": ["Li", "Li", "Zn", "Zn", "Pt"],
  "frac_coords": [[0.412, 0.412, 0.175], [0.588, 0.588, 0.825], [0.750, 0.250, 0.500], [0.250, 0.750, 0.500], [0.000, 0.000, 0.000]],
  "e_form_ev_per_fu": -0.3,
  "e_tot_ev_per_atom": -2.541
}

{
  "formula": "Li3Zn3Pt2",
  "functional": "PBE-GGA",
  "state": "optimized geometry",
  "lattice_angstrom": [[-0.462, 3.282, -4.351], [-3.733, 4.883, 4.079], [3.617, 5.311, 3.622]],
  "species": ["Pt", "Zn", "Pt", "Zn", "Pt", "Li", "Li", "Li", "Li", "Li", "Li", "Zn", "Zn", "Zn", "Zn", "Pt"],
  "frac_coords": [[0.500, 0.333, 0.333], [0.750, 0.000, 0.593], [0.000, 0.333, 0.333], [0.750, 0.593, 0.407], [0.000, 0.667, 0.667], [0.250, 0.252, 0.000], [0.750, 0.748, 0.000], [0.250, 0.748, 0.252], [0.250, 0.000, 0.748], [0.750, 0.000, 0.252], [0.750, 0.252, 0.748], [0.750, 0.407, 0.000], [0.250, 0.407, 0.593], [0.250, 0.593, 0.000], [0.250, 0.000, 0.407], [0.500, 0.667, 0.667]],
  "e_form_ev_per_fu": -3.5,
  "e_tot_ev_per_atom": -3.139
}

{
  "formula": "Li6ZnPt",
  "functional": "PBE-GGA",
  "state": "optimized geometry",
  "lattice_angstrom": [[-0.884, 1.816, -4.047], [-4.555, 0.490, 1.215], [1.116, 5.193, 2.086]],
  "species": ["Zn", "Li", "Li", "Pt", "Li", "Li", "Li", "Li"],
  "frac_coords": [[0.000, 0.696, 0.000], [0.500, 0.330, 0.000], [0.500, 0.821, 0.268], [0.500, 0.317, 0.500], [0.500, 0.821, 0.732], [0.000, 0.644, 0.500], [0.000, 0.186, 0.263], [0.000, 0.186, 0.737]],
  "e_form_ev_per_fu": -2.1,
  "e_tot_ev_per_atom": -2.611
}

{
  "formula": "Li6Zn12Pt",
  "functional": "PBE-GGA",
  "state": "optimized geometry",
  "lattice_angstrom": [[-6.284, -0.557, -1.849], [1.561, -5.673, -2.932], [-1.208, -3.058, 5.693]],
  "species": ["Zn", "Zn", "Zn", "Zn", "Li", "Li", "Zn", "Zn", "Zn", "Li", "Li", "Li", "Zn", "Li", "Zn", "Pt", "Zn", "Zn", "Zn"],
  "frac_coords": [[0.451, 0.797, 0.525], [0.151, 0.373, 0.045], [0.045, 0.151, 0.373], [0.849, 0.627, 0.955], [0.271, 0.115, 0.739], [0.261, 0.729, 0.885], [0.955, 0.849, 0.627], [0.627, 0.955, 0.849], [0.797, 0.525, 0.451], [0.729, 0.885, 0.261], [0.739, 0.271, 0.115], [0.885, 0.261, 0.729], [0.549, 0.203, 0.475], [0.115, 0.739, 0.271], [0.475, 0.549, 0.203], [0.000, 0.000, 0.000], [0.373, 0.045, 0.151], [0.525, 0.451, 0.797], [0.203, 0.475, 0.549]],
  "e_form_ev_per_fu": -4.1,
  "e_tot_ev_per_atom": -1.941
}

{
  "formula": "LiZn6Pt5",
  "functional": "PBE-GGA",
  "state": "optimized geometry",
  "lattice_angstrom": [[-3.689, 0.311, -2.525], [-2.394, -4.321, 2.966], [-4.466, 4.613, 3.117]],
  "species": ["Zn", "Zn", "Li", "Pt", "Zn", "Zn", "Pt", "Pt", "Pt", "Zn", "Pt", "Zn"],
  "frac_coords": [[0.500, 0.250, 0.000], [0.830, 0.250, 0.341], [0.000, 0.000, 0.000], [0.000, 0.500, 0.000], [0.170, 0.250, 0.659], [0.170, 0.750, 0.659], [0.660, 0.000, 0.681], [0.340, 0.000, 0.319], [0.662, 0.500, 0.676], [0.830, 0.750, 0.341], [0.338, 0.500, 0.324], [0.500, 0.750, 0.000]],
  "e_form_ev_per_fu": -6.5,
  "e_tot_ev_per_atom": -3.851
}

{
  "formula": "Li3Zn2Pt3",
  "functional": "PBE-GGA",
  "state": "optimized geometry",
  "lattice_angstrom": [[-1.632, -1.922, 1.227], [-0.545, -3.450, -6.131], [5.219, -1.571, 4.481]],
  "species": ["Pt", "Li", "Li", "Li", "Zn", "Zn", "Pt", "Pt"],
  "frac_coords": [[0.500, 0.382, 0.382], [0.000, 0.248, 0.000], [0.000, 0.000, 0.248], [0.000, 0.752, 0.752], [0.000, 0.667, 0.333], [0.000, 0.333, 0.667], [0.500, 0.618, 0.000], [0.500, 0.000, 0.618]],
  "e_form_ev_per_fu": -4.8,
  "e_tot_ev_per_atom": -3.896
}

{
  "formula": "Li3ZnPt",
  "functional": "PBE-GGA",
  "state": "optimized geometry",
  "lattice_angstrom": [[6.380, 0.000, 3.626], [1.462, 6.076, 4.853], [1.783, 1.762, 4.289]],
  "species": ["Pt", "Li", "Li", "Zn", "Li"],
  "frac_coords": [[0.320, 0.221, 0.139], [0.271, 0.481, 0.357], [0.558, 0.958, 0.926], [0.834, 0.734, 0.597], [0.891, 0.481, 0.357]],
  "e_form_ev_per_fu": -1.8,
  "e_tot_ev_per_atom": -2.964
}

{
  "formula": "LiZnPt",
  "functional": "PBE-GGA",
  "state": "optimized geometry",
  "lattice_angstrom": [[4.195, 0.000, 0.000], [2.098, 3.633, 0.000], [2.098, 1.211, 3.425]],
  "species": ["Li", "Pt", "Zn"],
  "frac_coords": [[0.500, 0.500, 0.500], [0.750, 0.750, 0.750], [0.000, 0.000, 0.000]],
  "e_form_ev_per_fu": -1.0,
  "e_tot_ev_per_atom": -3.410
}

{
  "formula": "LiZnPt",
  "functional": "PBE-GGA",
  "state": "optimized geometry",
  "lattice_angstrom": [[-3.753, 1.599, -2.140], [-3.998, -2.182, 0.688], [3.481, 2.196, 2.070]],
  "species": ["Zn", "Li", "Pt"],
  "frac_coords": [[0.672, 0.672, 0.000], [0.997, 0.997, 0.000], [0.331, 0.331, 0.000]],
  "e_form_ev_per_fu": -1.7,
  "e_tot_ev_per_atom": -3.648
}

What did the eleventh record say?
{
  "formula": "LiZnPt",
  "functional": "PBE-GGA",
  "state": "optimized geometry",
  "lattice_angstrom": [[4.195, 0.000, 0.000], [2.098, 3.633, 0.000], [2.098, 1.211, 3.425]],
  "species": ["Li", "Pt", "Zn"],
  "frac_coords": [[0.500, 0.500, 0.500], [0.750, 0.750, 0.750], [0.000, 0.000, 0.000]],
  "e_form_ev_per_fu": -1.0,
  "e_tot_ev_per_atom": -3.410
}

Repeat the fourth record exactly.
{
  "formula": "Li2Zn2Pt",
  "functional": "PBE-GGA",
  "state": "optimized geometry",
  "lattice_angstrom": [[3.438, 0.000, 0.000], [0.000, 3.438, 0.000], [1.719, 1.719, 6.476]],
  "species": ["Li", "Li", "Zn", "Zn", "Pt"],
  "frac_coords": [[0.412, 0.412, 0.175], [0.588, 0.588, 0.825], [0.750, 0.250, 0.500], [0.250, 0.750, 0.500], [0.000, 0.000, 0.000]],
  "e_form_ev_per_fu": -0.3,
  "e_tot_ev_per_atom": -2.541
}

- What is the formula in the fourth record?
  Li2Zn2Pt